1.
Entry from Alexandria: an optimized crystal structure of CsRbIn2Mo (PBE).

The raw total energy is -3.065 eV/atom.

The space group is P4/mmm (No. 123) and the conventional cell measures 5.420, 5.420 and 5.854 Å, with angles of 90.00, 90.00 and 90.00 degrees. The distinct sites, in fractional coordinates, are Cs at (0.000, 0.000, 0.000), Rb at (0.500, 0.500, 0.000), In at (0.000, 0.500, 0.500) and Mo at (0.000, 0.000, 0.500).

2.
Entry from Alexandria: an optimized crystal structure of Tb7Pr2Nd2 (PBE).

The raw total energy is -4.535 eV/atom.

The space group is C2/m (No. 12) and the conventional cell measures 11.365, 11.711 and 6.149 Å, with angles of 90.00, 113.65 and 90.00 degrees. The distinct sites, in fractional coordinates, are Tb at (0.000, 0.000, 0.000), Tb at (0.173, 0.238, 0.174), Tb at (0.235, 0.000, 0.577), Pr at (0.000, 0.213, 0.500) and Nd at (0.097, 0.500, 0.812).

3.
Entry from Alexandria: an optimized crystal structure of La4PrCd (PBE).

The value obtained for the energy relative to the lowest polymorph listed for this composition is 0.00 eV per formula unit.

The space group is P4/mmm (No. 123) and the conventional cell measures 3.787, 3.787 and 14.416 Å, with angles of 90.00, 90.00 and 90.00 degrees. The distinct sites, in fractional coordinates, are La at (0.000, 0.000, 0.146), La at (0.500, 0.500, 0.321), Pr at (0.000, 0.000, 0.500) and Cd at (0.500, 0.500, 0.000).

4.
Entry from Alexandria: an optimized crystal structure of Cs2NpTc3O12 (PBE).

The raw formation energy is -1.82 eV/atom.

The space group is R-3m (No. 166, hexagonal axes) and the conventional cell measures 7.3077, 7.3077 and 18.7986 Å, with angles of 90.00, 90.00 and 120.00 degrees. The distinct sites, in fractional coordinates, are Cs at (0.0000, 0.0000, 0.1198), Np at (0.0000, 0.0000, 0.5000), Tc at (0.0000, 0.5000, 0.0000), O at (0.0654, 0.5327, 0.1039) and O at (0.0868, 0.5434, 0.3461).

5.
Entry from Alexandria: an optimized crystal structure of NaGa6Ge2 (PBE).

The raw total energy is -3.174 eV/atom.

The space group is P4/mmm (No. 123) and the conventional cell measures 4.230, 4.230 and 10.258 Å, with angles of 90.00, 90.00 and 90.00 degrees. The distinct sites, in fractional coordinates, are Na at (0.000, 0.000, 0.000), Ga at (0.000, 0.000, 0.500), Ga at (0.000, 0.500, 0.289), Ga at (0.500, 0.500, 0.500) and Ge at (0.500, 0.500, 0.126).

6.
Entry from Alexandria: an optimized crystal structure of Tm12InPb6 (PBE).

The raw total energy is -4.262 eV/atom.

The space group is R-3 (No. 148, hexagonal axes) and the conventional cell measures 13.5973, 13.5973 and 11.7897 Å, with angles of 90.00, 90.00 and 120.00 degrees. The distinct sites, in fractional coordinates, are Tm at (0.0259, 0.8360, 0.3838), Tm at (0.0588, 0.8398, 0.8931), In at (0.0000, 0.0000, 0.0000) and Pb at (0.0372, 0.7688, 0.6445).

Magnetization per entry: 0.11 0.00 0.00 2.58 0.00 0.00 μB/f.u.